PBE-GGA Zn3AgAu7, optimized geometry; D(E_F) = 0.218 states/eV per atom; energy of formation = -4 kJ per mole of atoms; size of the total moment = 0.000 μB per atom
1.0
-0.3166 -0.2008 -5.5405
-5.3888 -2.3830 4.3247
-1.0472 6.1757 3.7664
Au Ag Zn
7 1 3
direct
0.3345 0.5903 0.0606
0.0000 0.5000 0.5000
0.6655 0.9394 0.4097
0.3240 0.1793 0.1793
0.6655 0.4097 0.9394
0.3345 0.0606 0.5903
0.6760 0.8207 0.8207
0.5000 0.5000 0.5000
0.5000 0.0000 0.0000
0.0000 0.7689 0.2311
0.0000 0.2311 0.7689


PBE-GGA Zn7Ag3Au2, optimized geometry; D(E_F) = 0.292 states/eV per atom; energy of formation = -2 kJ per mole of atoms; size of the total moment = 0.000 μB per atom; polymorph energy (0 for the lowest one) = 32 meV per atom
1.0
4.0494 0.0000 0.0000
0.0000 4.1189 -0.8181
0.0000 0.3159 12.3689
Zn Au Ag
7 2 3
direct
0.0000 0.2755 0.5511
0.0000 0.5765 0.1530
0.0000 0.4235 0.8470
0.5000 0.9224 0.8447
0.0000 0.0000 0.0000
0.5000 0.0776 0.1553
0.0000 0.7245 0.4489
0.0000 0.8404 0.6809
0.0000 0.1596 0.3191
0.5000 0.6495 0.2990
0.5000 0.3505 0.7010
0.5000 0.5000 0.0000


PBE-GGA Zn3Ag3Au, optimized geometry; D(E_F) = 0.326 states/eV per atom; energy of formation = -1 kJ per mole of atoms; size of the total moment = 0.000 μB per atom; polymorph energy (0 for the lowest one) = 23 meV per atom
1.0
6.8137 0.0000 0.0000
3.4069 5.9009 0.0000
3.4069 1.9670 6.0129
Ag Zn Au
6 6 2
direct
0.0646 0.5612 0.6352
0.2610 0.9354 0.3648
0.7390 0.0646 0.6352
0.4388 0.2610 0.3648
0.9354 0.4388 0.3648
0.5612 0.7390 0.6352
0.7142 0.9168 0.1744
0.1947 0.7142 0.1744
0.2858 0.0832 0.8256
0.0832 0.8053 0.8256
0.8053 0.2858 0.8256
0.9168 0.1947 0.1744
0.6532 0.6532 0.0403
0.3468 0.3468 0.9597


PBE-GGA ZnAg8Au2, optimized geometry; D(E_F) = 0.268 states/eV per atom; energy of formation = 10 kJ per mole of atoms; size of the total moment = 0.000 μB per atom; polymorph energy (0 for the lowest one) = 123 meV per atom
1.0
4.8698 0.5032 0.3818
0.7049 7.1157 0.8257
0.7049 2.7112 6.6305
Ag Au Zn
8 2 1
direct
0.7962 0.2411 0.6229
0.7962 0.6229 0.2411
0.2038 0.3771 0.7589
0.0749 0.7744 0.7744
0.3457 0.3534 0.3534
0.9251 0.2256 0.2256
0.2038 0.7589 0.3771
0.6543 0.6466 0.6466
0.4933 0.1175 0.1175
0.5067 0.8825 0.8825
0.0000 0.0000 0.0000


PBE-GGA Zn2Ag8Au, optimized geometry; D(E_F) = 0.289 states/eV per atom; energy of formation = -2 kJ per mole of atoms; size of the total moment = 0.000 μB per atom; polymorph energy (0 for the lowest one) = 0 meV per atom
1.0
3.8889 0.0000 -1.1133
-0.3058 6.5246 -1.0683
0.0841 -0.9289 7.6426
Ag Au Zn
8 1 2
direct
0.4094 0.5502 0.8188
0.6829 0.9097 0.3658
0.9536 0.2689 0.9073
0.2293 0.6357 0.4586
0.3171 0.0903 0.6342
0.5906 0.4498 0.1812
0.7707 0.3643 0.5414
0.0464 0.7311 0.0927
0.5000 0.0000 0.0000
0.8640 0.8207 0.7280
0.1360 0.1793 0.2720


PBE-GGA ZnAg5Au2, optimized geometry; D(E_F) = 0.254 states/eV per atom; energy of formation = -5 kJ per mole of atoms; size of the total moment = 0.000 μB per atom
1.0
-2.9710 1.8593 1.8521
2.5664 -1.1075 5.2284
5.9801 10.3053 -0.7525
Ag Au Zn
10 4 2
direct
0.0000 0.4863 0.7506
0.0000 0.5000 0.5000
0.5000 0.2593 0.3741
0.5000 0.2407 0.8741
0.5000 0.7593 0.1259
0.0000 0.0000 0.0000
0.5000 0.7407 0.6259
0.0000 0.9863 0.7494
0.0000 0.5137 0.2494
0.0000 0.0137 0.2506
0.5000 0.2682 0.1185
0.5000 0.7318 0.8815
0.5000 0.2318 0.6185
0.5000 0.7682 0.3815
0.0000 0.5000 0.0000
0.0000 0.0000 0.5000


PBE-GGA Zn2Ag4Au, optimized geometry; D(E_F) = 0.181 states/eV per atom; energy of formation = 6 kJ per mole of atoms; size of the total moment = 0.000 μB per atom; polymorph energy (0 for the lowest one) = 50 meV per atom
1.0
6.8961 -0.0029 0.0050
-2.3003 6.5011 -0.0050
-2.2954 -3.2508 5.6319
Au Ag Zn
2 8 4
direct
0.7500 0.5000 0.2500
0.0000 0.0000 0.0000
0.1381 0.4204 0.3923
0.9718 0.5796 0.7177
0.1423 0.9204 0.3881
0.6119 0.7541 0.5323
0.7782 0.2459 0.8577
0.2823 0.2541 0.8619
0.6077 0.7459 0.0282
0.4677 0.0796 0.2218
0.3750 0.8841 0.7591
0.2409 0.6159 0.1250
0.5091 0.3841 0.6250
0.8750 0.1159 0.4909


PBE-GGA Zn7AgAu3, optimized geometry; D(E_F) = 0.295 states/eV per atom; energy of formation = -4 kJ per mole of atoms; size of the total moment = 0.000 μB per atom; polymorph energy (0 for the lowest one) = 0 meV per atom
1.0
-4.0610 -2.6909 -1.2955
0.4260 0.0369 6.5142
-1.6580 6.3142 0.0089
Au Zn Ag
3 7 1
direct
0.0000 0.7791 0.2209
0.0000 0.2209 0.7791
0.5000 0.0000 0.0000
0.0000 0.5000 0.5000
0.3256 0.5833 0.0644
0.6744 0.4167 0.9356
0.0706 0.2037 0.2037
0.9294 0.7963 0.7963
0.6744 0.9356 0.4167
0.3256 0.0644 0.5833
0.5000 0.5000 0.5000


PBE-GGA Zn3Ag2Au3, optimized geometry; D(E_F) = 0.178 states/eV per atom; energy of formation = -13 kJ per mole of atoms; size of the total moment = 0.000 μB per atom; polymorph energy (0 for the lowest one) = 0 meV per atom
1.0
-2.4235 1.5747 -1.0437
-2.1104 -3.9498 -1.0591
-1.5844 0.9454 9.6289
Zn Au Ag
3 3 2
direct
0.8806 0.8806 0.7612
0.0000 0.5000 0.0000
0.1194 0.1194 0.2388
0.5000 0.0000 0.0000
0.6263 0.6263 0.2526
0.3737 0.3737 0.7474
0.2620 0.7620 0.5241
0.7380 0.2380 0.4759


PBE-GGA Zn2Ag8Au, optimized geometry; D(E_F) = 0.333 states/eV per atom; energy of formation = -1 kJ per mole of atoms; size of the total moment = 0.000 μB per atom; polymorph energy (0 for the lowest one) = 9 meV per atom
1.0
4.1398 0.0000 0.0000
0.0000 6.6307 0.2838
-2.0699 -2.5032 6.8277
Zn Ag Au
2 8 1
direct
0.7755 0.3543 0.5511
0.2245 0.6457 0.4489
0.0461 0.7283 0.0921
0.4028 0.5386 0.8057
0.6817 0.9171 0.3634
0.9539 0.2717 0.9079
0.8563 0.7984 0.7125
0.1437 0.2016 0.2875
0.3183 0.0829 0.6366
0.5972 0.4614 0.1943
0.5000 0.0000 0.0000


Please write out number 6 again, unchanged.
PBE-GGA ZnAg5Au2, optimized geometry; D(E_F) = 0.254 states/eV per atom; energy of formation = -5 kJ per mole of atoms; size of the total moment = 0.000 μB per atom
1.0
-2.9710 1.8593 1.8521
2.5664 -1.1075 5.2284
5.9801 10.3053 -0.7525
Ag Au Zn
10 4 2
direct
0.0000 0.4863 0.7506
0.0000 0.5000 0.5000
0.5000 0.2593 0.3741
0.5000 0.2407 0.8741
0.5000 0.7593 0.1259
0.0000 0.0000 0.0000
0.5000 0.7407 0.6259
0.0000 0.9863 0.7494
0.0000 0.5137 0.2494
0.0000 0.0137 0.2506
0.5000 0.2682 0.1185
0.5000 0.7318 0.8815
0.5000 0.2318 0.6185
0.5000 0.7682 0.3815
0.0000 0.5000 0.0000
0.0000 0.0000 0.5000


- Which value of size of the total moment does entry 1 give?
  0.000 μB per atom